# 1
The following is a GGA-PBE calculation of Cs4U3CdO12 after structural relaxation, from Alexandria via LeMat-Bulk.

Properties
Its symmetry is No. 229. Its energy relative to the elements, uncorrected is -2550 meV/atom.

Cell lengths 7.6774, 7.6774, 7.6774 Å; angles 109.47, 109.47, 109.47 degrees
Sites, in units of the cell vectors:
Cs 0.5000 0.5000 0.5000
Cs 0.0000 0.0000 0.5000
Cs 0.5000 0.0000 0.0000
Cs 0.0000 0.5000 0.0000
U 0.5000 0.0000 0.5000
U 0.5000 0.5000 0.0000
U 0.0000 0.5000 0.5000
Cd 0.0000 0.0000 0.0000
O 0.2500 0.5000 0.7500
O 0.7221 0.0000 0.7221
O 0.2779 0.0000 0.2779
O 0.7500 0.5000 0.2500
O 0.7221 0.7221 0.0000
O 0.2779 0.2779 0.0000
O 0.7500 0.2500 0.5000
O 0.2500 0.7500 0.5000
O 0.5000 0.2500 0.7500
O 0.0000 0.7221 0.7221
O 0.5000 0.7500 0.2500
O 0.0000 0.2779 0.2779

# 2
The following is a GGA-PBE calculation of AcNpAgO6 after structural relaxation, from Alexandria via LeMat-Bulk.

Properties
Its symmetry is No. 102. Its energy relative to the elements, uncorrected is -2180 meV/atom.

Cell lengths 5.3752, 5.3752, 10.4671 Å; angles 90.00, 90.00, 90.00 degrees
Sites, in units of the cell vectors:
Ac 0.5000 0.5000 0.1770
Ac 0.0000 0.0000 0.6770
Np 0.5000 0.5000 0.8317
Np 0.0000 0.0000 0.3318
Ag 0.5000 0.5000 0.5011
Ag 0.0000 0.0000 0.0011
O 0.1747 0.8253 0.4696
O 0.8253 0.1747 0.4696
O 0.3253 0.3253 0.9696
O 0.6747 0.6747 0.9696
O 0.1722 0.8278 0.1828
O 0.8278 0.1722 0.1828
O 0.3278 0.3278 0.6828
O 0.6722 0.6722 0.6828
O 0.7762 0.2238 0.8427
O 0.2238 0.7762 0.8427
O 0.7238 0.7238 0.3427
O 0.2762 0.2762 0.3427

> Look up the energy relative to the elements, uncorrected of the second one.

-2180 meV/atom

> The highest energy relative to the elements, uncorrected belongs to which entry?

AcNpAgO6